VASP calculation (PBE+U) on a relaxed HgPWO2 crystal.

Energy, eV for the cell shown: -18.576
E above lowest polymorph, eV per atom: 1.7304
Total magnetic moment, μB per formula unit: 3.1
Density of states at the Fermi level, states/eV/cell: 2.0

```
data_HgPWO2
_cell_length_a 4.106
_cell_length_b 4.106
_cell_length_c 5.120
_cell_angle_alpha 90.00
_cell_angle_beta 90.00
_cell_angle_gamma 90.00
_symmetry_space_group_name_H-M 'P 1'
_symmetry_Int_Tables_number 1
loop_
_symmetry_equiv_pos_as_xyz
'x,y,z'
loop_
_atom_site_label
_atom_site_type_symbol
_atom_site_fract_x
_atom_site_fract_y
_atom_site_fract_z
Hg1 Hg 0.000 0.000 0.000
P1 P 0.000 0.000 0.500
W1 W 0.500 0.500 0.500
O1 O 0.000 0.500 0.000
O2 O 0.500 0.000 0.000
```